# 1
Computed, not measured: K2OsAu at its PBEsol-relaxed geometry at the SCAN level of DFT.

Energy relative to the elements: 80 kJ/mol of atoms
E: -38.596 eV/atom

Cell: 11.3424 11.3424 11.3424 Å, 14.53 14.53 14.53°
Atoms (fractional coordinates):
K1 0.2479 0.2479 0.2479
K2 0.7521 0.7521 0.7521
Os1 0.5000 0.5000 0.5000
Au1 0.0000 0.0000 0.0000

# 2
Computed, not measured: KTl2Au at its PBEsol-relaxed geometry at the SCAN level of DFT.

Energy relative to the elements: -17 kJ/mol of atoms
E: -55.724 eV/atom

Cell: 3.8942 4.6140 6.5630 Å, 90.00 106.27 90.00°
Atoms (fractional coordinates):
K1 0.0000 0.0000 0.0000
Tl1 0.3300 0.5000 0.7102
Tl2 0.6700 0.5000 0.2898
Au1 0.5000 0.0000 0.5000